## BP3RhC (PBE)

Data for crystalline BP3RhC at its relaxed geometry.

The energy above the most stable polymorph in this dataset is 0.0143 eV per atom. Its calculated volume is 13.2 Å³/atom.

It has space group P1 (No. 1), with a = 3.112 Å, b = 5.308 Å, c = 5.383 Å, α = 65.15°, β = 80.60° and γ = 81.48°. Symmetry generates all atoms from B at (0.000, 0.000, 0.000), P at (0.184, 0.414, 0.295), P at (0.429, 0.095, 0.138), P at (0.653, 0.744, 0.733), Rh at (0.621, 0.308, 0.638) and C at (0.110, 0.715, 0.965).

## Tm5ThPb6 (PBE)

Data for crystalline Tm5ThPb6 at its relaxed geometry.

The calculation puts the total energy at -0.172 Ha/atom. Its calculated volume is 29.0 Å³/atom.

It has space group C2/m (No. 12), with a = 6.180 Å, b = 15.680 Å, c = 7.399 Å, α = 90.00°, β = 103.92° and γ = 90.00°. Symmetry generates all atoms from Tm at (0.000, 0.000, 0.000), Tm at (0.000, 0.330, 0.500), Tm at (0.000, 0.341, 0.000), Th at (0.000, 0.000, 0.500), Pb at (0.003, 0.172, 0.238) and Pb at (0.016, 0.500, 0.742).

## Tb9PmTm2 (PBE)

Data for crystalline Tb9PmTm2 at its relaxed geometry.

The energy above the most stable polymorph in this dataset is 0.0000 eV per atom. Its calculated volume is 31.8 Å³/atom.

It has space group P4/mmm (No. 123), with a = 5.028 Å, b = 5.028 Å, c = 15.094 Å, α = 90.00°, β = 90.00° and γ = 90.00°. Symmetry generates all atoms from Tb at (0.000, 0.000, 0.000), Tb at (0.000, 0.000, 0.335), Tb at (0.000, 0.500, 0.169), Tb at (0.000, 0.500, 0.500), Pm at (0.500, 0.500, 0.000) and Tm at (0.500, 0.500, 0.335).

Please write out number 3 again, unchanged.
## Tb9PmTm2 (PBE)

Data for crystalline Tb9PmTm2 at its relaxed geometry.

The energy above the most stable polymorph in this dataset is 0.0000 eV per atom. Its calculated volume is 31.8 Å³/atom.

It has space group P4/mmm (No. 123), with a = 5.028 Å, b = 5.028 Å, c = 15.094 Å, α = 90.00°, β = 90.00° and γ = 90.00°. Symmetry generates all atoms from Tb at (0.000, 0.000, 0.000), Tb at (0.000, 0.000, 0.335), Tb at (0.000, 0.500, 0.169), Tb at (0.000, 0.500, 0.500), Pm at (0.500, 0.500, 0.000) and Tm at (0.500, 0.500, 0.335).